An optimized crystal structure of Sr3Si2Ge. Source: Alexandria via LeMat-Bulk, functional PBE-GGA.

Cell: 12.473 4.395 12.883 Å, 90.00 90.00 90.00°
Element x y z (fractional)
Sr  0.078  0.250  0.114
Sr  0.115  0.750  0.552
Sr  0.190  0.250  0.798
Sr  0.310  0.750  0.298
Sr  0.385  0.250  0.052
Sr  0.422  0.750  0.614
Sr  0.578  0.250  0.386
Sr  0.615  0.750  0.948
Sr  0.690  0.250  0.702
Sr  0.810  0.750  0.202
Sr  0.885  0.250  0.448
Sr  0.922  0.750  0.886
Si  0.038  0.750  0.319
Si  0.205  0.750  0.986
Si  0.295  0.250  0.486
Si  0.462  0.250  0.819
Si  0.538  0.750  0.181
Si  0.705  0.750  0.514
Si  0.795  0.250  0.014
Si  0.962  0.250  0.681
Ge  0.148  0.250  0.349
Ge  0.352  0.750  0.849
Ge  0.648  0.250  0.151
Ge  0.852  0.750  0.651

Calculated values
**N(E_F)**: 1.79 states/eV/f.u.
**Uncorrected formation energy**: -396 meV per atom
**Crystal system**: orthorhombic